Entry 1:
A geometry-optimized Cs3KAu structure. Source: Alexandria, functional PBE.

Values from the calculation:
Formation energy   -0.0777 eV per atom
Space group   Fd-3m

Cell and atoms, written as extended XYZ:
```
20
Lattice="0.000 9.621 9.621 9.621 0.000 9.621 9.621 9.621 0.000" Properties=species:S:1:pos:R:3 pbc="T T T"
K 7.216 2.405 7.216
K 7.216 7.216 2.405
K 2.405 7.216 7.216
K 2.405 2.405 2.405
Cs 14.431 14.431 18.054
Cs 9.621 5.998 9.621
Cs 14.431 14.431 10.809
Cs 5.998 9.621 9.621
Cs 14.431 18.054 14.431
Cs 18.054 14.431 14.431
Cs 13.243 9.621 9.621
Cs 9.621 9.621 5.998
Cs 10.809 14.431 14.431
Cs 9.621 13.243 9.621
Cs 14.431 10.809 14.431
Cs 9.621 9.621 13.243
Au 7.216 12.026 7.216
Au 7.216 7.216 12.026
Au 12.026 12.026 12.026
Au 12.026 7.216 7.216
```

=====

Entry 2:
A geometry-optimized ScCl2 structure. Source: Alexandria, functional PBE.

Values from the calculation:
Space group   Pnma
E_form (uncorrected)   -5.520 eV per formula unit

Cell and atoms, written as extended XYZ:
```
12
Lattice="-3.090 -1.412 1.174 5.494 -10.442 1.903 1.452 1.870 6.072" Properties=species:S:1:pos:R:3 pbc="T T T"
Cl 2.659 -7.665 6.035
Cl 5.731 -9.285 6.672
Cl 3.555 -8.040 2.439
Cl 1.197 -2.319 3.113
Cl -1.876 -0.699 2.477
Cl 3.011 -4.029 5.832
Cl 0.301 -1.943 6.710
Cl 0.844 -5.954 3.317
Sc 3.264 -5.947 4.190
Sc 3.916 -8.515 8.323
Sc -0.060 -1.469 0.826
Sc 0.592 -4.037 4.959
```

=====

Entry 3:
A geometry-optimized BeP2CBr structure. Source: Alexandria, functional PBE.

Values from the calculation:
Space group   P4/mmm
E_form (uncorrected)   9.102 eV per formula unit

Cell and atoms, written as extended XYZ:
```
5
Lattice="-3.168 2.716 0.297 -0.638 -1.254 4.670 2.677 2.995 1.170" Properties=species:S:1:pos:R:3 pbc="T T T"
P -1.584 1.358 0.148
P 1.338 1.497 0.585
C -0.565 2.228 3.068
Br -0.319 -0.627 2.335
Be 0.000 0.000 0.000
```

=====

Entry 4:
A geometry-optimized CaLa2Al structure. Source: Alexandria, functional PBE.

Values from the calculation:
Formation energy   0.0309 eV per atom
Space group   R3m

Cell and atoms, written as extended XYZ:
```
4
Lattice="5.539 0.000 0.000 2.769 4.797 0.000 2.769 1.599 4.673" Properties=species:S:1:pos:R:3 pbc="T T T"
Al 8.308 4.797 3.251
La 2.769 1.599 1.592
La 2.769 1.599 4.485
Ca 5.539 3.198 2.354
```

=====

Entry 5:
A geometry-optimized AlP2Cl structure. Source: Alexandria, functional PBE.

Values from the calculation:
Space group   P2/m
E_form (uncorrected)   -1.203 eV per formula unit

Cell and atoms, written as extended XYZ:
```
4
Lattice="-3.516 1.107 1.067 -1.700 -4.162 -1.281 -0.395 -4.421 3.288" Properties=species:S:1:pos:R:3 pbc="T T T"
Cl -3.329 -5.883 2.039
Al -2.282 -1.592 1.035
P -0.079 -0.574 0.336
P -0.968 -3.717 0.667
```

=====

Entry 6:
A geometry-optimized TlOs2 structure. Source: Alexandria, functional PBE.

Values from the calculation:
Formation energy   1.6288 eV per atom
Space group   I4/mcm

Cell and atoms, written as extended XYZ:
```
6
Lattice="-3.172 -4.187 -0.353 2.432 0.882 4.586 -3.114 4.178 -0.754" Properties=species:S:1:pos:R:3 pbc="T T T"
Os -2.421 0.648 0.083
Os -1.433 0.224 3.396
Os -2.616 -2.308 1.212
Os -1.239 3.180 2.267
Tl -0.185 -0.826 1.058
Tl -0.555 -2.479 3.174
```

=====

Entry 7:
A geometry-optimized GaS3I structure. Source: Alexandria, functional PBE.

Values from the calculation:
Space group   Pm-3m
E_form (uncorrected)   2.375 eV per formula unit

Cell and atoms, written as extended XYZ:
```
5
Lattice="4.767 0.000 0.000 0.000 4.767 0.000 0.000 0.000 4.767" Properties=species:S:1:pos:R:3 pbc="T T T"
S 2.384 0.000 0.000
S 0.000 2.384 0.000
S 0.000 0.000 2.384
Ga 0.000 0.000 0.000
I 2.384 2.384 2.384
```

=====

Entry 8:
A geometry-optimized Ac2Ag15Pb2 structure. Source: Alexandria, functional PBE.

Values from the calculation:
Formation energy   -0.0911 eV per atom
Space group   R-3m

Cell and atoms, written as extended XYZ:
```
19
Lattice="-1.217 6.085 4.217 0.540 -3.493 6.618 7.232 1.620 1.172" Properties=species:S:1:pos:R:3 pbc="T T T"
Pb 0.682 0.438 1.250
Pb 5.873 3.774 10.758
Ag 5.147 0.028 2.868
Ag -0.608 3.043 2.109
Ag 4.003 4.440 4.595
Ag 1.415 4.694 3.269
Ag -0.007 -0.509 5.871
Ag 2.552 -0.227 7.413
Ag 1.698 4.431 6.245
Ag 2.624 -1.900 4.922
Ag 3.616 0.810 0.586
Ag -0.670 3.102 4.965
Ag 5.807 2.260 4.764
Ag 0.748 1.953 7.244
Ag 0.270 -1.746 3.309
Ag 4.857 -0.218 5.762
Ag 4.600 3.011 2.120
Ac 2.278 1.464 4.172
Ac 4.277 2.749 7.835
```

=====

Entry 9:
A geometry-optimized Y12Tm2Th structure. Source: Alexandria, functional PBE.

Values from the calculation:
Formation energy   0.3655 eV per atom
Space group   P4/nbm

Cell and atoms, written as extended XYZ:
```
30
Lattice="6.405 0.000 0.000 0.000 6.405 0.000 0.000 0.000 25.061" Properties=species:S:1:pos:R:3 pbc="T T T"
Y 5.210 4.397 2.830
Y 3.202 3.202 19.686
Y 5.324 4.284 10.988
Y 2.121 5.324 10.988
Y 3.202 3.202 5.375
Y 3.202 3.202 16.585
Y 3.202 3.202 8.476
Y 4.284 1.081 10.988
Y 0.000 0.000 8.476
Y 2.121 1.081 14.073
Y 5.324 2.121 14.073
Y 2.008 5.210 2.830
Y 1.081 2.121 10.988
Y 0.000 0.000 5.375
Y 5.210 2.008 22.231
Y 1.081 4.284 14.073
Y 4.397 1.195 2.830
Y 1.195 4.397 22.231
Y 0.000 0.000 16.585
Y 2.008 1.195 22.231
Y 0.000 0.000 19.686
Y 1.195 2.008 2.830
Y 4.284 5.324 14.073
Y 4.397 5.210 22.231
Tm 0.000 3.202 18.174
Tm 0.000 3.202 6.887
Tm 3.202 0.000 6.887
Tm 3.202 0.000 18.174
Th 0.000 3.202 0.000
Th 3.202 0.000 0.000
```

=====

Entry 10:
A geometry-optimized TaCd3Ga structure. Source: Alexandria, functional PBE.

Values from the calculation:
Formation energy   1.1624 eV per atom
Space group   Pm-3m

Cell and atoms, written as extended XYZ:
```
5
Lattice="-1.335 -0.921 -4.668 1.843 -4.570 0.375 -4.387 -1.640 1.578" Properties=species:S:1:pos:R:3 pbc="T T T"
Ta -1.939 -3.566 -1.358
Ga 0.000 0.000 0.000
Cd -0.667 -0.461 -2.334
Cd 0.922 -2.285 0.187
Cd -2.193 -0.820 0.789
```

=====

Entry 11:
A geometry-optimized ScSbIr2S structure. Source: Alexandria, functional PBE.

Values from the calculation:
Space group   P4/mmm
E_form (uncorrected)   1.708 eV per formula unit

Cell and atoms, written as extended XYZ:
```
5
Lattice="4.358 0.000 0.000 0.000 5.505 0.000 0.000 0.000 4.358" Properties=species:S:1:pos:R:3 pbc="T T T"
S 0.000 0.000 0.000
Ir 0.000 0.000 2.179
Ir 2.179 0.000 0.000
Sb 0.000 2.752 0.000
Sc 2.179 2.752 2.179
```

=====

Entry 12:
A geometry-optimized RbSiAg structure. Source: Alexandria, functional PBE.

Values from the calculation:
Space group   P-6m2
E_form (uncorrected)   0.749 eV per formula unit

Cell and atoms, written as extended XYZ:
```
3
Lattice="-1.908 5.325 0.795 -2.747 -1.438 3.039 4.000 1.267 1.114" Properties=species:S:1:pos:R:3 pbc="T T T"
Ag -0.318 0.888 0.132
Rb 0.479 3.915 2.286
Si -0.816 0.351 2.530
```

=====

Entry 13:
A geometry-optimized Ca4ErCd5 structure. Source: Alexandria, functional PBE.

Values from the calculation:
Formation energy   -0.3504 eV per atom
Space group   P4/mmm

Cell and atoms, written as extended XYZ:
```
10
Lattice="3.800 0.000 0.000 0.000 3.800 0.000 0.000 0.000 19.123" Properties=species:S:1:pos:R:3 pbc="T T T"
Cd 1.900 1.900 17.354
Cd 1.900 1.900 13.441
Cd 1.900 1.900 5.682
Cd 1.900 1.900 9.562
Cd 1.900 1.900 1.770
Ca 0.000 0.000 7.618
Ca 0.000 0.000 3.744
Ca 0.000 0.000 15.379
Ca 0.000 0.000 11.505
Er 0.000 0.000 0.000
```

=====

Entry 14:
A geometry-optimized Sc6AgBi2C structure. Source: Alexandria, functional PBE.

Values from the calculation:
Formation energy   -0.2393 eV per atom
Space group   P4/mmm

Cell and atoms, written as extended XYZ:
```
10
Lattice="-0.262 -3.138 -3.748 1.925 -3.516 2.810 -8.958 -2.639 2.837" Properties=species:S:1:pos:R:3 pbc="T T T"
Sc -1.645 -4.057 0.315
Sc -3.516 -3.078 2.823
Sc 0.963 -1.758 1.405
Sc -0.131 -1.569 -1.874
Sc -4.610 -2.889 -0.456
Sc -5.650 -5.237 1.583
Bi -6.632 -1.954 2.100
Bi -2.326 -0.685 0.737
Ag 0.832 -3.327 -0.469
C -3.647 -4.647 0.949
```

=====

Entry 15:
A geometry-optimized CsHgAs structure. Source: Alexandria, functional PBE.

Values from the calculation:
Formation energy   -0.2255 eV per atom
Space group   Cmcm

Cell and atoms, written as extended XYZ:
```
6
Lattice="-3.451 0.455 3.217 -0.655 -4.826 -0.021 8.174 -1.133 5.438" Properties=species:S:1:pos:R:3 pbc="T T T"
Hg 2.752 -4.075 3.529
Hg 1.315 -1.429 5.105
Cs 5.040 -1.938 5.681
Cs -0.973 -3.567 2.952
As 2.082 -3.996 6.290
As 1.985 -1.508 2.343
```

=====

Entry 16:
A geometry-optimized SmEr3Th4 structure. Source: Alexandria, functional PBE.

Values from the calculation:
Formation energy   0.3139 eV per atom
Space group   C2/m

Cell and atoms, written as extended XYZ:
```
8
Lattice="3.304 0.000 -0.938 -0.745 8.960 -2.626 0.883 -2.015 9.403" Properties=species:S:1:pos:R:3 pbc="T T T"
Th 1.666 0.024 5.869
Th 1.777 6.921 -0.029
Th 2.080 3.530 1.040
Th 1.362 3.415 4.800
Er 2.651 6.060 3.049
Er 0.792 0.885 2.791
Er -0.373 4.480 -1.313
Sm 1.652 0.000 -0.469
```

=====

Entry 17:
A geometry-optimized Sr2MgAgPt structure. Source: Alexandria, functional PBE.

Values from the calculation:
Formation energy   -0.3558 eV per atom
Space group   P4/mmm

Cell and atoms, written as extended XYZ:
```
5
Lattice="-3.547 -0.655 -4.552 -2.885 -4.160 2.847 -3.118 3.482 1.928" Properties=species:S:1:pos:R:3 pbc="T T T"
Sr -1.773 -0.328 -2.276
Sr -1.443 -2.080 1.423
Pt 0.000 0.000 0.000
Mg -1.559 1.741 0.964
Ag -4.775 -0.667 0.111
```

=====

Entry 18:
A geometry-optimized PmTmPuCd structure. Source: Alexandria, functional PBE.

Values from the calculation:
Formation energy   0.0777 eV per atom
Space group   F-43m

Cell and atoms, written as extended XYZ:
```
4
Lattice="5.425 0.000 0.000 2.713 4.698 0.000 2.713 1.566 4.430" Properties=species:S:1:pos:R:3 pbc="T T T"
Cd 0.000 0.000 0.000
Pm 2.713 1.566 1.107
Tm 8.138 4.698 3.322
Pu 5.425 3.132 2.215
```

=====

Entry 19:
A geometry-optimized CaPr12Y6 structure. Source: Alexandria, functional PBE.

Values from the calculation:
Formation energy   0.1753 eV per atom
Space group   R-3m

Cell and atoms, written as extended XYZ:
```
19
Lattice="-1.831 8.527 2.106 -3.916 -3.953 7.039 8.485 -0.269 2.905" Properties=species:S:1:pos:R:3 pbc="T T T"
Y -0.755 5.191 2.361
Y 3.493 -0.885 9.689
Y -2.275 4.033 9.242
Y 4.658 6.093 6.931
Y 5.013 0.273 2.808
Y -1.920 -1.787 5.119
Pr 0.694 1.693 9.676
Pr 1.263 5.098 8.330
Pr -1.311 4.438 5.817
Pr 4.049 -0.132 6.233
Pr 4.591 3.110 4.951
Pr 2.044 2.613 2.374
Pr 0.827 -1.089 7.307
Pr -1.853 1.196 7.099
Pr 1.475 -0.792 3.720
Pr 1.910 5.395 4.743
Pr -1.339 1.608 3.502
Pr 4.077 2.698 8.548
Ca 0.000 0.000 0.000
```

=====

Entry 20:
A geometry-optimized Cd2AgP structure. Source: Alexandria, functional PBE.

Values from the calculation:
Formation energy   0.1900 eV per atom
Space group   I-4m2

Cell and atoms, written as extended XYZ:
```
4
Lattice="-3.232 4.265 0.243 -3.370 0.315 -4.152 1.310 -3.884 3.449" Properties=species:S:1:pos:R:3 pbc="T T T"
P -3.301 2.290 -1.954
Cd -2.680 -0.640 -1.329
Cd 0.000 0.000 0.000
Ag -2.611 1.336 0.869
```

=====

Number 1: D(E_F) 14.53 states/eV per cell, calculated volume 1780.9 Å³/cell. Number 2: D(E_F) 7.18 states/eV per cell, calculated volume 280.0 Å³/cell. Number 3: D(E_F) 3.82 states/eV per cell, calculated volume 85.4 Å³/cell. Number 4: D(E_F) 3.63 states/eV per cell, calculated volume 124.1 Å³/cell. Number 5: D(E_F) 0.60 states/eV per cell, calculated volume 81.0 Å³/cell. Number 6: D(E_F) 8.77 states/eV per cell, calculated volume 110.4 Å³/cell. Number 7: D(E_F) 4.70 states/eV per cell, calculated volume 108.4 Å³/cell. Number 8: D(E_F) 9.38 states/eV per cell, calculated volume 415.6 Å³/cell. Number 9: D(E_F) 42.19 states/eV per cell, calculated volume 1028.0 Å³/cell. Number 10: D(E_F) 3.51 states/eV per cell, calculated volume 120.7 Å³/cell. Number 11: D(E_F) 5.27 states/eV per cell, calculated volume 104.5 Å³/cell. Number 12: D(E_F) 2.82 states/eV per cell, calculated volume 93.3 Å³/cell. Number 13: D(E_F) 6.89 states/eV per cell, calculated volume 276.2 Å³/cell. Number 14: D(E_F) 8.32 states/eV per cell, calculated volume 233.9 Å³/cell. Number 15: D(E_F) 1.00 states/eV per cell, calculated volume 221.5 Å³/cell. Number 16: D(E_F) 13.85 states/eV per cell, calculated volume 267.0 Å³/cell. Number 17: D(E_F) 2.80 states/eV per cell, calculated volume 170.6 Å³/cell. Number 18: D(E_F) 14.33 states/eV per cell, calculated volume 112.9 Å³/cell. Number 19: D(E_F) 32.91 states/eV per cell, calculated volume 696.7 Å³/cell. Number 20: D(E_F) 1.31 states/eV per cell, calculated volume 78.1 Å³/cell.